Version one
This record from Alexandria describes crystalline RbSr2Y at its relaxed geometry. The functional is PBE.

Cell and atoms, written as POSCAR:
```
RbSr2Y
1.0
-5.351 -0.487 0.985
1.035 -3.880 3.704
-1.222 7.470 12.196
Sr Rb Y
4 2 2
direct
0.375 0.366 0.750 Sr
0.875 0.884 0.750 Sr
0.116 0.625 0.250 Sr
0.634 0.125 0.250 Sr
0.500 0.500 0.000 Rb
0.250 0.750 0.500 Rb
0.750 0.250 0.500 Y
0.000 0.000 0.000 Y
```

Computed properties:
* volume: 51.57 Å³/atom

---

Version two
This record from Alexandria describes crystalline RbSr2Y at its relaxed geometry. The functional is PBE.

Cell and atoms, written as POSCAR:
```
RbSr2Y
1.0
3.257 -3.166 4.749
-3.308 -2.894 4.886
-0.265 -6.556 0.357
Sr Y Rb
2 1 1
direct
0.750 0.750 0.750 Sr
0.250 0.250 0.250 Sr
0.500 0.500 0.500 Y
0.000 0.000 0.000 Rb
```

Computed properties:
* volume: 50.16 Å³/atom

---

Of them, version two has the highest stability.

---

Version one
This record from Alexandria describes crystalline RbSrZn2 at its relaxed geometry. The functional is PBE.

Cell and atoms, written as POSCAR:
```
RbSrZn2
1.0
4.284 2.711 2.799
-0.561 1.267 5.623
3.145 -2.851 3.939
Zn Rb Sr
2 1 1
direct
0.750 0.750 0.750 Zn
0.250 0.250 0.250 Zn
0.000 0.000 0.000 Rb
0.500 0.500 0.500 Sr
```

Computed properties:
* volume: 34.33 Å³/atom

---

Version two
This record from Alexandria describes crystalline RbSrZn2 at its relaxed geometry. The functional is PBE.

Cell and atoms, written as POSCAR:
```
RbSrZn2
1.0
9.044 0.000 0.000
0.000 9.044 0.000
4.522 4.522 3.909
Zn Sr Rb
4 2 2
direct
0.105 0.625 0.250 Zn
0.375 0.355 0.750 Zn
0.645 0.125 0.250 Zn
0.875 0.895 0.750 Zn
0.000 0.000 0.000 Sr
0.750 0.250 0.500 Sr
0.250 0.750 0.500 Rb
0.500 0.500 0.000 Rb
```

Computed properties:
* volume: 39.97 Å³/atom

---

Of them, version one has the highest stability.

---

Version one
This record from Alexandria describes crystalline Rb2SrZn2 at its relaxed geometry. The functional is PBE.

Cell and atoms, written as POSCAR:
```
Rb2SrZn2
1.0
-7.721 -2.803 -2.119
3.094 -3.000 -7.307
1.192 -5.313 2.686
Sr Rb Zn
2 4 4
direct
0.500 0.500 0.000 Sr
0.000 0.000 0.000 Sr
0.672 0.828 0.500 Rb
0.828 0.328 0.500 Rb
0.172 0.672 0.500 Rb
0.328 0.172 0.500 Rb
0.390 0.890 0.000 Zn
0.890 0.610 0.000 Zn
0.110 0.390 0.000 Zn
0.610 0.110 0.000 Zn
```

Computed properties:
* volume: 43.69 Å³/atom

---

Version two
This record from Alexandria describes crystalline Rb2SrZn2 at its relaxed geometry. The functional is PBE.

Cell and atoms, written as POSCAR:
```
Rb2SrZn2
1.0
-4.911 0.361 -1.640
-0.204 -5.160 -0.524
-5.080 -3.052 6.326
Rb Sr Zn
2 1 2
direct
0.750 0.250 0.500 Rb
0.250 0.750 0.500 Rb
0.000 0.000 0.000 Sr
0.420 0.420 0.160 Zn
0.580 0.580 0.840 Zn
```

Computed properties:
* volume: 42.31 Å³/atom

---

Of them, version one has the highest stability.

---

Version one
This record from Alexandria describes crystalline RbSrZr2 at its relaxed geometry. The functional is PBE.

Cell and atoms, written as POSCAR:
```
RbSrZr2
1.0
-2.896 3.208 -1.175
-3.401 -2.559 1.395
-2.197 5.538 11.997
Zr Rb Sr
4 2 2
direct
0.875 0.881 0.750 Zr
0.375 0.369 0.750 Zr
0.119 0.625 0.250 Zr
0.631 0.125 0.250 Zr
0.250 0.750 0.500 Rb
0.500 0.500 0.000 Rb
0.000 0.000 0.000 Sr
0.750 0.250 0.500 Sr
```

Computed properties:
* volume: 32.64 Å³/atom

---

Version two
This record from Alexandria describes crystalline RbSrZr2 at its relaxed geometry. The functional is PBE.

Cell and atoms, written as POSCAR:
```
RbSrZr2
1.0
2.868 -3.917 3.124
-2.864 -3.452 3.635
-0.563 -5.620 -1.195
Zr Rb Sr
2 1 1
direct
0.250 0.250 0.250 Zr
0.750 0.750 0.750 Zr
0.000 0.000 0.000 Rb
0.500 0.500 0.500 Sr
```

Computed properties:
* volume: 34.01 Å³/atom

---

Of them, version one has the highest stability.